No. 1
# MnAl2In

Crystalline MnAl2In at its relaxed geometry (PBE, Alexandria via LeMat-Bulk).

extended XYZ file:
```
4
Lattice="5.0081 -0.0193 0.0000 -1.8407 4.6576 0.0000 0.0000 0.0000 3.0166" Properties=species:S:1:pos:R:3 pbc="T T T"
Al 0.0000 0.0000 0.0000
Al 1.5837 2.3192 0.0000
Mn -0.9204 2.3288 1.5083
In 2.5040 -0.0096 1.5083
```

The total energy comes out at -4.68 eV/atom. The formation energy is 3.80 kcal/mol of atoms. The space-group type is Cmmm (65). The crystal system is orthorhombic.


No. 2
# CsAsSe2Br

Crystalline CsAsSe2Br at its relaxed geometry (PBE, Alexandria via LeMat-Bulk).

extended XYZ file:
```
5
Lattice="5.7058 0.0000 0.0000 0.0000 5.7058 0.0000 0.0000 0.0000 6.3858" Properties=species:S:1:pos:R:3 pbc="T T T"
Cs 0.0000 0.0000 0.0000
Se 0.0000 2.8529 0.0000
Se 2.8529 0.0000 0.0000
As 2.8529 2.8529 3.1929
Br 0.0000 0.0000 3.1929
```

The total energy comes out at -1.68 eV/atom. The energy above the most stable polymorph in this dataset comes out at 1597.6 meV/atom. The raw formation energy comes out at 1.15 eV per atom. The space-group type is P4/mmm (123). The crystal system is tetragonal.


No. 3
# TaTcW2

Crystalline TaTcW2 at its relaxed geometry (PBE, Alexandria via LeMat-Bulk).

extended XYZ file:
```
4
Lattice="-2.7473 3.7984 2.3288 1.2951 -4.2674 2.7406 2.3533 1.2196 0.7869" Properties=species:S:1:pos:R:3 pbc="T T T"
Tc 1.8242 -1.5239 1.7638
Ta -0.1970 2.5090 1.5579
W -0.7261 -0.2345 2.5347
W 0.0000 0.0000 0.0000
```

The total energy comes out at -11.79 eV/atom. The energy above the most stable polymorph in this dataset comes out at 400.9 meV/atom. The formation energy is 5.61 kcal/mol of atoms. The space-group type is Cmmm (65). The crystal system is orthorhombic.


No. 4
# ZrCu2I6

Crystalline ZrCu2I6 at its relaxed geometry (PBE, Alexandria via LeMat-Bulk).

extended XYZ file:
```
18
Lattice="7.2239 -0.1449 -0.5478 -0.7707 9.8303 0.8035 -0.2619 1.0591 9.8328" Properties=species:S:1:pos:R:3 pbc="T T T"
I 2.1804 6.3477 1.6617
I 3.8575 7.4808 5.5592
I 4.2984 0.4564 1.4888
I 0.1453 8.8420 4.1994
I 2.3338 3.2638 4.5293
I 0.6119 1.8138 0.4398
I 0.3318 6.0659 7.3642
I 5.5794 8.9307 9.6487
I 1.8929 10.2881 8.5998
I 4.0109 4.3969 8.4269
I 6.0461 1.9025 5.8892
I 5.8595 4.6786 2.7244
Cu 2.5323 5.2753 6.2009
Cu 0.1176 4.3251 5.4139
Cu 6.0737 6.4194 4.6746
Cu 3.6591 5.4692 3.8876
Zr 1.0880 8.8850 1.6024
Zr 5.1033 1.8595 8.4861
```

The total energy comes out at -3.44 eV/atom. The energy above the most stable polymorph in this dataset comes out at 0.0 meV/atom. The raw formation energy comes out at -0.55 eV per atom. The space-group type is C2/c (15). The crystal system is monoclinic.


No. 5
# Sr12Au3Cl5

Crystalline Sr12Au3Cl5 at its relaxed geometry (PBE, Alexandria via LeMat-Bulk).

extended XYZ file:
```
80
Lattice="15.9153 0.0000 0.0000 -5.3051 15.0051 0.0000 -5.3051 -7.5025 12.9948" Properties=species:S:1:pos:R:3 pbc="T T T"
Sr -4.1763 12.6124 1.7135
Sr 2.0051 5.8036 8.8005
Sr 10.5898 1.6173 0.6258
Sr -5.2847 5.8853 12.3689
Sr -0.5018 9.4602 1.2154
Sr 6.8289 11.5414 3.5685
Sr 3.1543 9.5339 1.0877
Sr -6.4339 4.0389 9.4263
Sr 9.9628 0.7306 5.8715
Sr -2.6730 3.4846 8.2109
Sr 6.8289 2.3927 1.7135
Sr -3.3000 8.4709 10.0659
Sr -1.1288 8.5735 5.2820
Sr -4.6577 6.7720 7.1232
Sr 2.6321 9.9032 5.4097
Sr 4.6577 -1.6989 4.1943
Sr -5.8069 0.0737 10.6917
Sr 8.6050 -0.9683 2.9289
Sr -1.5238 -4.0389 9.4263
Sr 11.1120 7.4288 2.3031
Sr 2.1508 -2.0314 11.9071
Sr 7.9781 13.3878 0.6258
Sr 6.4339 -1.0710 7.7128
Sr 1.5238 1.0710 7.7128
Sr 0.6474 9.2015 8.8005
Sr 5.9525 6.5342 10.0659
Sr 5.8069 -1.9576 11.7794
Sr 5.8069 2.0314 11.9071
Sr 5.2847 2.4006 7.5851
Sr 11.7390 3.4637 3.5685
Sr 9.4814 -5.1098 11.2813
Sr -0.5018 5.4712 1.0877
Sr 2.1508 1.9576 11.7794
Sr 2.6730 -2.4006 7.5851
Sr -2.1508 -0.0737 10.6917
Sr 7.3102 8.2331 7.1232
Sr 3.7813 6.4316 5.2820
Sr 3.3000 1.6989 4.1943
Sr 7.9781 4.0179 4.7839
Sr -2.0051 -0.7306 5.8715
Sr -2.6730 -5.8853 12.3689
Sr -5.3255 10.9872 4.7839
Sr 7.4559 7.5763 2.3031
Sr 0.0204 5.1019 5.4097
Sr 10.6306 -3.4846 8.2109
Sr 3.1543 5.5449 1.2154
Sr -0.6474 0.9683 2.9289
Sr -1.5238 5.1098 11.2813
Cl 0.0000 0.0000 0.0000
Cl 6.6314 3.7513 9.7461
Cl -1.3263 0.9378 8.1217
Cl 1.3263 4.6891 11.3704
Cl 3.9788 11.2538 3.2487
Cl 9.2839 -0.9378 8.1217
Cl -2.6525 7.5025 0.0000
Cl 5.3051 -3.7513 6.4974
Cl 2.6525 3.7513 6.4974
Cl -1.3263 3.7513 3.2487
Cl 5.3051 7.5025 0.0000
Cl -1.3263 12.1916 1.6243
Cl 3.9788 2.8135 1.6243
Cl 7.9576 0.0000 0.0000
Cl 6.6314 -4.6891 11.3704
Cl 1.3263 -3.7513 9.7461
Cl -3.9788 8.4404 4.8730
Cl 6.6314 6.5647 4.8730
Cl -5.3051 3.7513 6.4974
Cl -2.6525 -3.7513 6.4974
Au 1.3263 7.5025 3.2487
Au -6.6314 7.5025 9.7461
Au 9.2839 10.3160 1.6243
Au 3.9788 8.4404 8.1217
Au 1.3263 -0.9378 4.8730
Au 9.2839 4.6891 1.6243
Au -1.3263 6.5647 8.1217
Au -3.9788 -2.8135 11.3704
Au 6.6314 0.9378 4.8730
Au -3.9788 2.8135 11.3704
Au 11.9365 0.0000 3.2487
Au 3.9788 0.0000 9.7461
```

The total energy comes out at -2.95 eV/atom. The raw formation energy comes out at -0.99 eV per atom. The space-group type is Ia-3d (230). The crystal system is cubic.


No. 6
# Hf2RhAuN

Crystalline Hf2RhAuN at its relaxed geometry (PBE, Alexandria via LeMat-Bulk).

extended XYZ file:
```
5
Lattice="-1.2219 1.2333 4.5270 -0.3429 -4.6889 1.1849 4.7526 -0.0219 1.2888" Properties=species:S:1:pos:R:3 pbc="T T T"
Rh 0.0000 0.0000 0.0000
N 1.5939 -1.7388 3.5003
Hf -0.6110 0.6167 2.2635
Hf -0.1714 -2.3445 0.5924
Au 2.3763 -0.0109 0.6444
```

The total energy comes out at -6.50 eV/atom. The raw formation energy comes out at 1.27 eV per atom. The space-group type is P4/mmm (123). The crystal system is tetragonal.


No. 7
# NdY2ErTe6

Crystalline NdY2ErTe6 at its relaxed geometry (PBE, Alexandria via LeMat-Bulk).

extended XYZ file:
```
10
Lattice="-2.2920 -5.5396 4.9129 -5.2013 -5.2806 -2.2666 2.7244 -7.7775 -1.3848" Properties=species:S:1:pos:R:3 pbc="T T T"
Te -0.2141 -10.4969 2.2799
Te -0.3118 -8.6207 -1.3962
Te -4.5520 -10.1744 2.8059
Te -1.9255 -6.4878 2.0738
Te -2.6664 -11.9423 -0.7105
Te -4.6387 -8.0697 -1.2673
Nd -4.6795 -13.0675 1.4249
Y -2.5410 -9.1739 0.6987
Y 2.6009 -7.6788 -1.3312
Er -2.3390 -3.7335 0.8132
```

The total energy comes out at -5.48 eV/atom. The raw formation energy comes out at -1.37 eV per atom. The space-group type is R3 (146). The crystal system is trigonal.


No. 8
# ErMgGaRh

Crystalline ErMgGaRh at its relaxed geometry (PBE, Alexandria via LeMat-Bulk).

extended XYZ file:
```
4
Lattice="-1.0269 3.9838 -2.3451 -4.0695 2.2668 0.8516 0.0350 4.1577 2.2665" Properties=species:S:1:pos:R:3 pbc="T T T"
Rh -1.2653 2.6021 0.1933
Mg 0.0000 0.0000 0.0000
Ga -3.7960 7.8062 0.5798
Er -2.5307 5.2041 0.3865
```

The total energy comes out at -4.68 eV/atom. The formation energy is -12.59 kcal/mol of atoms. The space-group type is F-43m (216). The crystal system is cubic.


No. 9
# Tb3Si2Ni6

Crystalline Tb3Si2Ni6 at its relaxed geometry (PBE, Alexandria via LeMat-Bulk).

extended XYZ file:
```
22
Lattice="7.1813 0.0000 -2.5390 -3.5906 6.2192 -2.5390 0.0000 0.0000 7.6169" Properties=species:S:1:pos:R:3 pbc="T T T"
Tb -1.0278 1.7802 1.4536
Tb 5.1257 0.0000 3.6244
Tb 2.5628 4.4390 -3.6244
Tb 1.0278 1.7802 -1.4536
Tb -2.5628 4.4390 3.6244
Tb 2.0556 0.0000 1.4536
Ni 0.0357 4.1667 2.5390
Ni 3.6263 2.0525 -2.5390
Ni 4.8113 0.0000 0.8127
Ni 1.1850 2.0525 3.3517
Ni -2.4057 4.1667 0.8127
Ni 3.5906 2.1142 2.5390
Ni 0.0000 4.1049 0.0000
Ni 2.4057 4.1667 -0.8127
Ni 2.3700 0.0000 4.2652
Ni -0.0357 4.1667 -2.5390
Ni 3.5550 2.0525 0.0000
Ni -1.1850 2.0525 4.2652
Si -1.7953 3.1096 -1.2695
Si 3.5906 0.0000 -1.2695
Si 0.0000 0.0000 3.8085
Si 1.7953 3.1096 1.2695
```

The total energy comes out at -6.05 eV/atom. The raw formation energy comes out at -0.64 eV per atom. The space-group type is Im-3m (229). The crystal system is cubic.


No. 10
# GeSbTePd

Crystalline GeSbTePd at its relaxed geometry (PBE, Alexandria via LeMat-Bulk).

extended XYZ file:
```
8
Lattice="-1.9183 -1.4288 -3.1375 -0.0749 -5.1434 2.3881 -7.1954 1.7727 3.5922" Properties=species:S:1:pos:R:3 pbc="T T T"
Te -3.1043 -0.1859 -0.4978
Te -6.7395 -1.8713 2.4923
Ge -3.6124 -2.6417 0.9312
Ge -7.1727 0.8164 1.5332
Sb -4.2798 1.0544 2.1366
Sb -0.7196 -2.4037 1.5346
Pd -0.4709 0.1160 0.2351
Pd -4.1060 -1.5694 3.2252
```

The total energy comes out at -4.40 eV/atom. The energy above the most stable polymorph in this dataset comes out at 18.7 meV/atom. The raw formation energy comes out at -0.13 eV per atom. The space-group type is Amm2 (38). The crystal system is orthorhombic.


| no. | magnetic moment (μB per formula unit) |
| --- | --- |
| 1 | 3.30 |
| 2 | 0.00 |
| 3 | 0.00 |
| 4 | 0.00 |
| 5 | 0.00 |
| 6 | 0.00 |
| 7 | 0.00 |
| 8 | 0.00 |
| 9 | 0.00 |
| 10 | 0.00 |